First-principles (PBE) data for crystalline KLaIr3 at its relaxed geometry, as listed in Alexandria.

Unit cell a=4.8296 b=4.8296 c=4.8296 alpha=90.00 beta=90.00 gamma=90.00
Element x y z (fractional)
Ir1 0.5000 0.0000 0.0000
Ir2 0.0000 0.0000 0.5000
Ir3 0.0000 0.5000 0.0000
La1 0.5000 0.5000 0.5000
K1 0.0000 0.0000 0.0000

Properties
Offset from the most stable computed form (meV/atom): 382
DOS at the Fermi energy (states/eV per cell): 7.10